Here is Pm2HOs after structural relaxation from Alexandria. Energies are from PBE-GGA.

CIF file:
```
data_Pm2HOs
_space_group_name_H-M_alt 'P 1'
_space_group_IT_number 1
_cell_length_a 3.3279
_cell_length_b 3.3279
_cell_length_c 7.2446
_cell_angle_alpha 90.00
_cell_angle_beta 90.00
_cell_angle_gamma 90.00
loop_
_space_group_symop_operation_xyz
'x,y,z'
loop_
_atom_site_label
_atom_site_fract_x
_atom_site_fract_y
_atom_site_fract_z
H1 0.5000 0.5000 0.5000
Os1 0.5000 0.5000 0.0000
Pm1 0.0000 0.0000 0.7545
Pm2 0.0000 0.0000 0.2455
```

For the density of states at the Fermi level, the calculation gives 0.6375 states/eV/atom. For the total magnetization, the calculation gives 0.000 μB/cell. The calculation puts the total energy at -6.078 eV per atom.